A plane-wave DFT calculation with PBE-GGA was carried out for Ac2CePrS4 after structural relaxation.

CIF file:
```
data_Ac2CePrS4
_symmetry_space_group_name_H-M 'P 1 2/m 1'
_symmetry_Int_Tables_number 10
_cell_length_a 7.248
_cell_length_b 4.170
_cell_length_c 7.289
_cell_angle_alpha 90.00
_cell_angle_beta 109.28
_cell_angle_gamma 90.00
loop_
_symmetry_equiv_pos_as_xyz
'x,y,z'
'-x,-y,-z'
'-x,y,-z'
'x,-y,z'
loop_
_atom_site_label
_atom_site_type_symbol
_atom_site_fract_x
_atom_site_fract_y
_atom_site_fract_z
Ac1 Ac 0.000 0.000 0.000
Ac2 Ac 0.500 0.500 0.000
Ce1 Ce 0.000 0.500 0.500
Pr1 Pr 0.500 0.000 0.500
S1 S 0.242 0.000 0.734
S2 S 0.252 0.500 0.264
```

Calculated values
Energy relative to the elements, uncorrected, meV/atom: -2009.5

A plane-wave DFT calculation with PBE-GGA was carried out for Ac3Ce2PrS6 after structural relaxation.

CIF file:
```
data_Ac3Ce2PrS6
_symmetry_space_group_name_H-M 'C 1 2/m 1'
_symmetry_Int_Tables_number 12
_cell_length_a 7.223
_cell_length_b 12.521
_cell_length_c 7.283
_cell_angle_alpha 90.00
_cell_angle_beta 109.38
_cell_angle_gamma 90.00
loop_
_symmetry_equiv_pos_as_xyz
'x,y,z'
'-x,-y,-z'
'-x,y,-z'
'x,-y,z'
'x+1/2,y+1/2,z'
'-x+1/2,-y+1/2,-z'
'-x+1/2,y+1/2,-z'
'x+1/2,-y+1/2,z'
loop_
_atom_site_label
_atom_site_type_symbol
_atom_site_fract_x
_atom_site_fract_y
_atom_site_fract_z
Ac1 Ac 0.000 0.000 0.000
Ac2 Ac 0.000 0.335 0.000
Ce1 Ce 0.000 0.167 0.500
Pr1 Pr 0.000 0.500 0.500
S1 S 0.240 0.000 0.732
S2 S 0.247 0.331 0.735
```

Calculated values
Energy relative to the elements, uncorrected, meV/atom: -2008.6

A plane-wave DFT calculation with PBE-GGA was carried out for AcCePr2Sb4 after structural relaxation.

CIF file:
```
data_AcCePr2Sb4
_symmetry_space_group_name_H-M 'P 1 2/m 1'
_symmetry_Int_Tables_number 10
_cell_length_a 7.984
_cell_length_b 4.610
_cell_length_c 7.985
_cell_angle_alpha 90.00
_cell_angle_beta 109.43
_cell_angle_gamma 90.00
loop_
_symmetry_equiv_pos_as_xyz
'x,y,z'
'-x,-y,-z'
'-x,y,-z'
'x,-y,z'
loop_
_atom_site_label
_atom_site_type_symbol
_atom_site_fract_x
_atom_site_fract_y
_atom_site_fract_z
Ac1 Ac 0.000 0.000 0.000
Ce1 Ce 0.500 0.500 0.000
Pr1 Pr 0.000 0.500 0.500
Pr2 Pr 0.500 0.000 0.500
Sb1 Sb 0.258 0.000 0.749
Sb2 Sb 0.261 0.500 0.256
```

Calculated values
Energy relative to the elements, uncorrected, meV/atom: -1148.1

A plane-wave DFT calculation with PBE-GGA was carried out for Ac2Ce3PrSb6 after structural relaxation.

CIF file:
```
data_Ac2Ce3PrSb6
_symmetry_space_group_name_H-M 'C 1 2/m 1'
_symmetry_Int_Tables_number 12
_cell_length_a 7.992
_cell_length_b 13.841
_cell_length_c 7.996
_cell_angle_alpha 90.00
_cell_angle_beta 109.48
_cell_angle_gamma 90.00
loop_
_symmetry_equiv_pos_as_xyz
'x,y,z'
'-x,-y,-z'
'-x,y,-z'
'x,-y,z'
'x+1/2,y+1/2,z'
'-x+1/2,-y+1/2,-z'
'-x+1/2,y+1/2,-z'
'x+1/2,-y+1/2,z'
loop_
_atom_site_label
_atom_site_type_symbol
_atom_site_fract_x
_atom_site_fract_y
_atom_site_fract_z
Ac1 Ac 0.000 0.166 0.000
Ce1 Ce 0.000 0.000 0.500
Ce2 Ce 0.000 0.331 0.500
Pr1 Pr 0.000 0.500 0.000
Sb1 Sb 0.237 0.500 0.735
Sb2 Sb 0.249 0.163 0.737
```

Calculated values
Energy relative to the elements, uncorrected, meV/atom: -1114.6

A plane-wave DFT calculation with PBE-GGA was carried out for AcCe3Pr2Sb6 after structural relaxation.

CIF file:
```
data_AcCe3Pr2Sb6
_symmetry_space_group_name_H-M 'C 1 2/m 1'
_symmetry_Int_Tables_number 12
_cell_length_a 7.922
_cell_length_b 13.720
_cell_length_c 7.922
_cell_angle_alpha 90.00
_cell_angle_beta 109.49
_cell_angle_gamma 90.00
loop_
_symmetry_equiv_pos_as_xyz
'x,y,z'
'-x,-y,-z'
'-x,y,-z'
'x,-y,z'
'x+1/2,y+1/2,z'
'-x+1/2,-y+1/2,-z'
'-x+1/2,y+1/2,-z'
'x+1/2,-y+1/2,z'
loop_
_atom_site_label
_atom_site_type_symbol
_atom_site_fract_x
_atom_site_fract_y
_atom_site_fract_z
Ac1 Ac 0.000 0.000 0.000
Ce1 Ce 0.000 0.164 0.500
Ce2 Ce 0.000 0.500 0.500
Pr1 Pr 0.000 0.333 0.000
Sb1 Sb 0.243 0.330 0.740
Sb2 Sb 0.245 0.500 0.258
```

Calculated values
Energy relative to the elements, uncorrected, meV/atom: -1115.3

A plane-wave DFT calculation with PBE-GGA was carried out for AcCePrSc after structural relaxation.

CIF file:
```
data_AcCePrSc
_symmetry_space_group_name_H-M 'F -4 3 m'
_symmetry_Int_Tables_number 216
_symmetry_space_group_name_Hall 'F -4 2 3'
_cell_length_a 8.155
_cell_length_b 8.155
_cell_length_c 8.155
_cell_angle_alpha 90.00
_cell_angle_beta 90.00
_cell_angle_gamma 90.00
loop_
_atom_site_label
_atom_site_type_symbol
_atom_site_fract_x
_atom_site_fract_y
_atom_site_fract_z
Ac1 Ac 0.000 0.000 0.000
Ce1 Ce 0.250 0.250 0.250
Pr1 Pr 0.000 0.000 0.500
Sc1 Sc 0.250 0.250 0.750
```

Calculated values
VASP energy, eV/atom: -5.064

A plane-wave DFT calculation with PBE-GGA was carried out for AcCe2PrSe4 after structural relaxation.

CIF file:
```
data_AcCe2PrSe4
_symmetry_space_group_name_H-M 'P 1 2/m 1'
_symmetry_Int_Tables_number 10
_cell_length_a 7.421
_cell_length_b 4.269
_cell_length_c 7.471
_cell_angle_alpha 90.00
_cell_angle_beta 109.21
_cell_angle_gamma 90.00
loop_
_symmetry_equiv_pos_as_xyz
'x,y,z'
'-x,-y,-z'
'-x,y,-z'
'x,-y,z'
loop_
_atom_site_label
_atom_site_type_symbol
_atom_site_fract_x
_atom_site_fract_y
_atom_site_fract_z
Ac1 Ac 0.000 0.000 0.000
Ce1 Ce 0.000 0.500 0.500
Ce2 Ce 0.500 0.000 0.500
Pr1 Pr 0.500 0.500 0.000
Se1 Se 0.253 0.000 0.742
Se2 Se 0.260 0.500 0.262
```

Calculated values
Energy relative to the elements, uncorrected, meV/atom: -1828.6

A plane-wave DFT calculation with PBE-GGA was carried out for Ac3Ce2PrSe6 after structural relaxation.

CIF file:
```
data_Ac3Ce2PrSe6
_symmetry_space_group_name_H-M 'C 1 2/m 1'
_symmetry_Int_Tables_number 12
_cell_length_a 7.503
_cell_length_b 13.009
_cell_length_c 7.575
_cell_angle_alpha 90.00
_cell_angle_beta 109.33
_cell_angle_gamma 90.00
loop_
_symmetry_equiv_pos_as_xyz
'x,y,z'
'-x,-y,-z'
'-x,y,-z'
'x,-y,z'
'x+1/2,y+1/2,z'
'-x+1/2,-y+1/2,-z'
'-x+1/2,y+1/2,-z'
'x+1/2,-y+1/2,z'
loop_
_atom_site_label
_atom_site_type_symbol
_atom_site_fract_x
_atom_site_fract_y
_atom_site_fract_z
Ac1 Ac 0.000 0.000 0.000
Ac2 Ac 0.000 0.335 0.000
Ce1 Ce 0.000 0.167 0.500
Pr1 Pr 0.000 0.500 0.500
Se1 Se 0.241 0.000 0.733
Se2 Se 0.247 0.332 0.736
```

Calculated values
Energy relative to the elements, uncorrected, meV/atom: -1839.1